The following is a GGA-PBE calculation of Sm4PCBr2 after structural relaxation, from the Alexandria database.

Properties
Mass density: 6.8 Mg/m³
Fermi-level density of states: 2.5 states/eV/f.u.
ΔE_f (raw): -1195 meV/atom

Lattice parameters (Å, degrees): 3.924 6.920 7.613 107.32 90.00 90.00
Positions (direct):
Sm  0.000  0.706  0.186
Sm  0.500  0.258  0.192
Sm  0.000  0.294  0.814
P  0.000  0.000  0.000
Br  0.000  0.500  0.500
Br  0.500  0.000  0.500
Sm  0.500  0.742  0.808
C  0.500  0.500  0.000

The following is a GGA-PBE calculation of FePdPt after structural relaxation, from the Alexandria database.

Properties
E above lowest polymorph: 0.658 eV per formula unit
Mass density: 11.9 Mg/m³
Fermi-level density of states: 1.3 states/eV/f.u.
Energy of formation from the pure elements: 64.2 meV per atom

Lattice parameters (Å, degrees): 4.128 4.128 4.130 89.86 120.11 120.03
Positions (direct):
Pt  0.944  0.472  0.417
Pd  0.945  0.972  0.917
Fe  0.444  0.222  0.667

The following is a GGA-PBE calculation of AgHgW2 after structural relaxation, from the Alexandria database.

Properties
Mass density: 15.5 Mg/m³
Fermi-level density of states: 2.0 states/eV/f.u.
Energy of formation from the pure elements: 744.0 meV per atom

Lattice parameters (Å, degrees): 5.486 5.486 5.486 145.84 127.61 64.04
Positions (direct):
Ag  0.506  0.506  0.000
W  0.976  0.976  0.000
W  0.771  0.271  0.500
Hg  0.247  0.747  0.500

Q: Which of these has the highest mass density?
A: AgHgW2